# 1
First-principles (meta-GGA SCAN) data for HfMo3Pb at its PBEsol-relaxed geometry, as listed in Alexandria via LeMat-Bulk.

Values from the calculation:
Calculated density (kg/m3): 10307
E_form (eV/atom): 1.89
Energy (eV/atom): -46.73

```
data_HfMo3Pb
_symmetry_space_group_name_H-M 'P 1'
_symmetry_Int_Tables_number 1
_cell_length_a 4.770
_cell_length_b 4.770
_cell_length_c 4.770
_cell_angle_alpha 90.00
_cell_angle_beta 90.00
_cell_angle_gamma 90.00
loop_
_symmetry_equiv_pos_as_xyz
'x,y,z'
loop_
_atom_site_label
_atom_site_type_symbol
_atom_site_fract_x
_atom_site_fract_y
_atom_site_fract_z
Hf1 Hf 0.000 0.000 0.000
Mo1 Mo 0.000 0.000 0.500
Mo2 Mo 0.000 0.500 0.000
Mo3 Mo 0.500 0.000 0.000
Pb1 Pb 0.500 0.500 0.500
```

---

# 2
First-principles (meta-GGA SCAN) data for TiMn2CrRu at its PBEsol-relaxed geometry, as listed in Alexandria via LeMat-Bulk.

Values from the calculation:
Calculated density (kg/m3): 5914
E_form (eV/atom): 0.89
Energy (eV/atom): -20.26

```
data_TiMn2CrRu
_symmetry_space_group_name_H-M 'P 1'
_symmetry_Int_Tables_number 1
_cell_length_a 4.470
_cell_length_b 4.470
_cell_length_c 4.368
_cell_angle_alpha 90.00
_cell_angle_beta 90.00
_cell_angle_gamma 90.00
loop_
_symmetry_equiv_pos_as_xyz
'x,y,z'
loop_
_atom_site_label
_atom_site_type_symbol
_atom_site_fract_x
_atom_site_fract_y
_atom_site_fract_z
Ti1 Ti 0.000 0.000 0.000
Mn1 Mn 0.000 0.500 0.500
Mn2 Mn 0.500 0.000 0.500
Cr1 Cr 0.500 0.500 0.000
Ru1 Ru 0.500 0.500 0.500
```

---

# 3
First-principles (meta-GGA SCAN) data for B2OsF at its PBEsol-relaxed geometry, as listed in Alexandria via LeMat-Bulk.

Values from the calculation:
Calculated density (kg/m3): 9981
Energy (eV/atom): -21.34
E_form (uncorrected) (eV per atom): 1.225

```
data_B2OsF
_symmetry_space_group_name_H-M 'P 1'
_symmetry_Int_Tables_number 1
_cell_length_a 5.356
_cell_length_b 5.356
_cell_length_c 5.356
_cell_angle_alpha 90.00
_cell_angle_beta 90.00
_cell_angle_gamma 90.00
loop_
_symmetry_equiv_pos_as_xyz
'x,y,z'
loop_
_atom_site_label
_atom_site_type_symbol
_atom_site_fract_x
_atom_site_fract_y
_atom_site_fract_z
B1 B 0.250 0.250 0.250
B2 B 0.250 0.250 0.750
B3 B 0.250 0.750 0.250
B4 B 0.250 0.750 0.750
B5 B 0.750 0.250 0.250
B6 B 0.750 0.250 0.750
B7 B 0.750 0.750 0.250
B8 B 0.750 0.750 0.750
Os1 Os 0.000 0.000 0.000
Os2 Os 0.000 0.500 0.500
Os3 Os 0.500 0.000 0.500
Os4 Os 0.500 0.500 0.000
F1 F 0.000 0.000 0.500
F2 F 0.000 0.500 0.000
F3 F 0.500 0.000 0.000
F4 F 0.500 0.500 0.500
```

---

# 4
First-principles (meta-GGA SCAN) data for LiTa5 at its PBEsol-relaxed geometry, as listed in Alexandria via LeMat-Bulk.

Values from the calculation:
Calculated density (kg/m3): 14344
Energy above the most stable polymorph in this dataset (eV/atom): 0.009
E_form (eV/atom): 0.33
Energy (eV/atom): -55.55

```
data_LiTa5
_symmetry_space_group_name_H-M 'P 1'
_symmetry_Int_Tables_number 1
_cell_length_a 4.905
_cell_length_b 2.665
_cell_length_c 16.149
_cell_angle_alpha 90.00
_cell_angle_beta 90.00
_cell_angle_gamma 90.00
loop_
_symmetry_equiv_pos_as_xyz
'x,y,z'
loop_
_atom_site_label
_atom_site_type_symbol
_atom_site_fract_x
_atom_site_fract_y
_atom_site_fract_z
Li1 Li 0.000 0.000 0.000
Li2 Li 0.000 0.500 0.500
Ta1 Ta 0.000 0.000 0.333
Ta2 Ta 0.000 0.000 0.666
Ta3 Ta 0.000 0.500 0.166
Ta4 Ta 0.000 0.500 0.833
Ta5 Ta 0.500 0.000 0.239
Ta6 Ta 0.500 0.000 0.575
Ta7 Ta 0.500 0.000 0.907
Ta8 Ta 0.500 0.500 0.075
Ta9 Ta 0.500 0.500 0.407
Ta10 Ta 0.500 0.500 0.739
```

---

# 5
First-principles (meta-GGA SCAN) data for LiCrAg at its PBEsol-relaxed geometry, as listed in Alexandria via LeMat-Bulk.

Values from the calculation:
Calculated density (kg/m3): 6537
E_form (eV/atom): 0.44
Energy (eV/atom): -16.94

```
data_LiCrAg
_symmetry_space_group_name_H-M 'P 1'
_symmetry_Int_Tables_number 1
_cell_length_a 2.565
_cell_length_b 2.565
_cell_length_c 12.879
_cell_angle_alpha 90.00
_cell_angle_beta 90.00
_cell_angle_gamma 90.00
loop_
_symmetry_equiv_pos_as_xyz
'x,y,z'
loop_
_atom_site_label
_atom_site_type_symbol
_atom_site_fract_x
_atom_site_fract_y
_atom_site_fract_z
Li1 Li 0.000 0.000 0.000
Li2 Li 0.500 0.500 0.500
Cr1 Cr 0.000 0.000 0.668
Cr2 Cr 0.500 0.500 0.168
Ag1 Ag 0.000 0.000 0.333
Ag2 Ag 0.500 0.500 0.833
```

---

# 6
First-principles (meta-GGA SCAN) data for Be2CdAs at its PBEsol-relaxed geometry, as listed in Alexandria via LeMat-Bulk.

Values from the calculation:
Calculated density (kg/m3): 5496
E_form (eV/atom): 0.73
Energy (eV/atom): -14.10

```
data_Be2CdAs
_symmetry_space_group_name_H-M 'P 1'
_symmetry_Int_Tables_number 1
_cell_length_a 6.284
_cell_length_b 6.284
_cell_length_c 6.284
_cell_angle_alpha 90.00
_cell_angle_beta 90.00
_cell_angle_gamma 90.00
loop_
_symmetry_equiv_pos_as_xyz
'x,y,z'
loop_
_atom_site_label
_atom_site_type_symbol
_atom_site_fract_x
_atom_site_fract_y
_atom_site_fract_z
Be1 Be 0.000 0.000 0.000
Be2 Be 0.000 0.500 0.500
Be3 Be 0.250 0.250 0.250
Be4 Be 0.250 0.750 0.750
Be5 Be 0.500 0.000 0.500
Be6 Be 0.500 0.500 0.000
Be7 Be 0.750 0.250 0.750
Be8 Be 0.750 0.750 0.250
Cd1 Cd 0.250 0.250 0.750
Cd2 Cd 0.250 0.750 0.250
Cd3 Cd 0.750 0.250 0.250
Cd4 Cd 0.750 0.750 0.750
As1 As 0.000 0.000 0.500
As2 As 0.000 0.500 0.000
As3 As 0.500 0.000 0.000
As4 As 0.500 0.500 0.500
```

---

# 7
First-principles (meta-GGA SCAN) data for ZnC5 at its PBEsol-relaxed geometry, as listed in Alexandria via LeMat-Bulk.

Values from the calculation:
Calculated density (kg/m3): 4687
E_form (eV/atom): 3.08
Energy (eV/atom): -7.59

```
data_ZnC5
_symmetry_space_group_name_H-M 'P 1'
_symmetry_Int_Tables_number 1
_cell_length_a 4.621
_cell_length_b 4.621
_cell_length_c 2.403
_cell_angle_alpha 90.00
_cell_angle_beta 90.00
_cell_angle_gamma 120.00
loop_
_symmetry_equiv_pos_as_xyz
'x,y,z'
loop_
_atom_site_label
_atom_site_type_symbol
_atom_site_fract_x
_atom_site_fract_y
_atom_site_fract_z
Zn1 Zn 0.000 0.000 0.000
C1 C 0.000 0.500 0.500
C2 C 0.333 0.667 0.000
C3 C 0.500 0.000 0.500
C4 C 0.500 0.500 0.500
C5 C 0.667 0.333 0.000
```

---

# 8
First-principles (meta-GGA SCAN) data for LaIn2Au at its PBEsol-relaxed geometry, as listed in Alexandria via LeMat-Bulk.

Values from the calculation:
Calculated density (kg/m3): 9835
E_form (eV/atom): -0.62
Energy (eV/atom): -45.38

```
data_LaIn2Au
_symmetry_space_group_name_H-M 'P 1'
_symmetry_Int_Tables_number 1
_cell_length_a 5.112
_cell_length_b 5.112
_cell_length_c 7.306
_cell_angle_alpha 90.00
_cell_angle_beta 90.00
_cell_angle_gamma 90.00
loop_
_symmetry_equiv_pos_as_xyz
'x,y,z'
loop_
_atom_site_label
_atom_site_type_symbol
_atom_site_fract_x
_atom_site_fract_y
_atom_site_fract_z
La1 La 0.000 0.000 0.000
La2 La 0.500 0.500 0.500
In1 In 0.000 0.000 0.500
In2 In 0.000 0.500 0.750
In3 In 0.500 0.000 0.250
In4 In 0.500 0.500 0.000
Au1 Au 0.000 0.500 0.250
Au2 Au 0.500 0.000 0.750
```

---

# 9
First-principles (meta-GGA SCAN) data for InPbCl2 at its PBEsol-relaxed geometry, as listed in Alexandria via LeMat-Bulk.

Values from the calculation:
Calculated density (kg/m3): 6554
Energy above the most stable polymorph in this dataset (eV/atom): 0.122
Energy (eV/atom): -31.92
E_form (uncorrected) (eV per atom): -0.640

```
data_InPbCl2
_symmetry_space_group_name_H-M 'P 1'
_symmetry_Int_Tables_number 1
_cell_length_a 3.375
_cell_length_b 4.224
_cell_length_c 6.983
_cell_angle_alpha 90.00
_cell_angle_beta 90.00
_cell_angle_gamma 90.00
loop_
_symmetry_equiv_pos_as_xyz
'x,y,z'
loop_
_atom_site_label
_atom_site_type_symbol
_atom_site_fract_x
_atom_site_fract_y
_atom_site_fract_z
In1 In 0.000 0.000 0.000
Pb1 Pb 0.000 0.000 0.500
Cl1 Cl 0.500 0.500 0.256
Cl2 Cl 0.500 0.500 0.744
```

---

# 10
First-principles (meta-GGA SCAN) data for CoSiOs2 at its PBEsol-relaxed geometry, as listed in Alexandria via LeMat-Bulk.

Values from the calculation:
Calculated density (kg/m3): 15117
Energy (eV/atom): -42.70
E_form (uncorrected) (eV per atom): 0.075

```
data_CoSiOs2
_symmetry_space_group_name_H-M 'P 1'
_symmetry_Int_Tables_number 1
_cell_length_a 2.713
_cell_length_b 3.787
_cell_length_c 5.101
_cell_angle_alpha 90.00
_cell_angle_beta 101.52
_cell_angle_gamma 90.00
loop_
_symmetry_equiv_pos_as_xyz
'x,y,z'
loop_
_atom_site_label
_atom_site_type_symbol
_atom_site_fract_x
_atom_site_fract_y
_atom_site_fract_z
Co1 Co 0.000 0.000 0.000
Si1 Si 0.000 0.000 0.500
Os1 Os 0.371 0.500 0.745
Os2 Os 0.629 0.500 0.255
```

---

# 11
First-principles (meta-GGA SCAN) data for CdAgOF2 at its PBEsol-relaxed geometry, as listed in Alexandria via LeMat-Bulk.

Values from the calculation:
Calculated density (kg/m3): 6013
Energy (eV/atom): -15.97
E_form (uncorrected) (eV per atom): -0.956

```
data_CdAgOF2
_symmetry_space_group_name_H-M 'P 1'
_symmetry_Int_Tables_number 1
_cell_length_a 4.272
_cell_length_b 4.272
_cell_length_c 4.149
_cell_angle_alpha 90.00
_cell_angle_beta 90.00
_cell_angle_gamma 90.00
loop_
_symmetry_equiv_pos_as_xyz
'x,y,z'
loop_
_atom_site_label
_atom_site_type_symbol
_atom_site_fract_x
_atom_site_fract_y
_atom_site_fract_z
Cd1 Cd 0.000 0.000 0.000
Ag1 Ag 0.500 0.500 0.500
O1 O 0.000 0.000 0.500
F1 F 0.000 0.500 0.000
F2 F 0.500 0.000 0.000
```

---

# 12
First-principles (meta-GGA SCAN) data for Li2TlPt at its PBEsol-relaxed geometry, as listed in Alexandria via LeMat-Bulk.

Values from the calculation:
Calculated density (kg/m3): 11459
E_form (eV/atom): -0.47
Energy (eV/atom): -37.30

```
data_Li2TlPt
_symmetry_space_group_name_H-M 'P 1'
_symmetry_Int_Tables_number 1
_cell_length_a 6.211
_cell_length_b 6.211
_cell_length_c 6.211
_cell_angle_alpha 90.00
_cell_angle_beta 90.00
_cell_angle_gamma 90.00
loop_
_symmetry_equiv_pos_as_xyz
'x,y,z'
loop_
_atom_site_label
_atom_site_type_symbol
_atom_site_fract_x
_atom_site_fract_y
_atom_site_fract_z
Li1 Li 0.250 0.250 0.250
Li2 Li 0.250 0.250 0.750
Li3 Li 0.250 0.750 0.250
Li4 Li 0.250 0.750 0.750
Li5 Li 0.750 0.250 0.250
Li6 Li 0.750 0.250 0.750
Li7 Li 0.750 0.750 0.250
Li8 Li 0.750 0.750 0.750
Tl1 Tl 0.000 0.000 0.000
Tl2 Tl 0.000 0.500 0.500
Tl3 Tl 0.500 0.000 0.500
Tl4 Tl 0.500 0.500 0.000
Pt1 Pt 0.000 0.000 0.500
Pt2 Pt 0.000 0.500 0.000
Pt3 Pt 0.500 0.000 0.000
Pt4 Pt 0.500 0.500 0.500
```

---

What is the energy in the fifth record?
-16.94 eV/atom